# 1
A relaxed structure of TeAsO3. Source: Alexandria via LeMat-Bulk, functional PBE.

Summary:
**Crystal system**: monoclinic
**Raw total energy**: -5.22 eV per atom
**Space group**: C2/m (12)

a b c (Å): 2.9050 7.9950 7.6485
angles (deg): 108.81 90.00 100.47
Sites, in units of the cell vectors:
Te 0.8206 0.6413 0.7041
As 0.5502 0.1005 0.7454
O 0.1204 0.2408 0.8828
O 0.8796 0.7592 0.1172
O 0.6800 0.3600 0.5128
As 0.4498 0.8995 0.2546
O 0.3200 0.6400 0.4872
O 0.0439 0.0879 0.2279
O 0.9561 0.9121 0.7721
Te 0.1794 0.3587 0.2959

# 2
A relaxed structure of MgPaAl2Cu4. Source: Alexandria via LeMat-Bulk, functional PBE.

Summary:
**Crystal system**: trigonal
**Space group**: R-3m (166)
**ΔE_f**: -0.160 eV per atom

a b c (Å): 4.2277 4.2277 8.6418
angles (deg): 75.84 75.84 60.00
Sites, in units of the cell vectors:
Al 0.7557 0.7557 0.7328
Al 0.2443 0.2443 0.2672
Cu 0.8764 0.8764 0.3707
Cu 0.3969 0.3969 0.8094
Cu 0.1236 0.1236 0.6293
Pa 0.0000 0.0000 0.0000
Cu 0.6031 0.6031 0.1906
Mg 0.5000 0.5000 0.5000